{"formula": "YEr3Tm", "functional": "PBE-GGA", "state": "relaxed", "lattice_angstrom": [[-0.2769, -8.9832, 3.1279], [5.4774, -0.4684, -0.8603], [0.9621, -0.0464, 6.1507]], "species": ["Tm", "Y", "Er", "Er", "Er", "Y", "Er", "Tm", "Er", "Er"], "fractional_positions": [[0.3004, 0.4500, 0.7656], [0.1015, 0.4500, 0.3658], [0.8990, 0.4500, 0.9699], [0.6977, 0.4500, 0.5678], [0.4986, 0.9500, 0.8341], [0.8985, 0.9500, 0.6342], [0.5014, 0.4500, 0.1659], [0.6996, 0.9500, 0.2344], [0.3023, 0.9500, 0.4322], [0.1010, 0.9500, 0.0301]], "de_polymorph_ev_per_fu": 0.000, "space_group": "P2_1/m"}


{"formula": "Y6ErTm8", "functional": "PBE-GGA", "state": "relaxed", "lattice_angstrom": [[-0.0840, 7.1386, 5.4381], [2.4360, -0.8762, 8.5929], [7.2380, 3.4513, 2.9864]], "species": ["Tm", "Y", "Er", "Tm", "Tm", "Tm", "Tm", "Y", "Tm", "Y", "Y", "Y", "Tm", "Y", "Tm"], "fractional_positions": [[0.5759, 0.5759, 0.2722], [0.7802, 0.4587, 0.8754], [0.0000, 0.0000, 0.0000], [0.2580, 0.2787, 0.5725], [0.2787, 0.8907, 0.5725], [0.1093, 0.7420, 0.4275], [0.4241, 0.4241, 0.7278], [0.1143, 0.2198, 0.1246], [0.7213, 0.1093, 0.4275], [0.8857, 0.7802, 0.8754], [0.5413, 0.1143, 0.1246], [0.4587, 0.8857, 0.8754], [0.7420, 0.7213, 0.4275], [0.2198, 0.5413, 0.1246], [0.8907, 0.2580, 0.5725]], "de_polymorph_ev_per_fu": 0.000, "space_group": "R-3"}


{"formula": "Y3Er3Tm", "functional": "PBE-GGA", "state": "relaxed", "lattice_angstrom": [[-1.1311, 4.9732, -2.3310], [-8.7248, -0.1732, 3.8643], [7.2667, 3.9020, 4.7988]], "species": ["Er", "Y", "Y", "Y", "Y", "Y", "Er", "Er", "Er", "Tm", "Y", "Er", "Er", "Tm"], "fractional_positions": [[0.2500, 0.3827, 0.9043], [0.2500, 0.9513, 0.7594], [0.7500, 0.7593, 0.8080], [0.2500, 0.8081, 0.0487], [0.7500, 0.0487, 0.2406], [0.2500, 0.2407, 0.1920], [0.7500, 0.6173, 0.0957], [0.7500, 0.4784, 0.3827], [0.2500, 0.0957, 0.4785], [0.2500, 0.6667, 0.3334], [0.7500, 0.1919, 0.9513], [0.2500, 0.5216, 0.6173], [0.7500, 0.9043, 0.5215], [0.7500, 0.3333, 0.6666]], "de_polymorph_ev_per_fu": 0.000, "space_group": "P6_3/m"}


{"formula": "Y7ErTm12", "functional": "PBE-GGA", "state": "relaxed", "lattice_angstrom": [[0.1505, -5.7333, 6.4645], [-2.4558, -6.5200, -5.1129], [8.1427, -2.3626, -1.6726]], "species": ["Tm", "Y", "Tm", "Tm", "Y", "Tm", "Tm", "Tm", "Tm", "Tm", "Tm", "Er", "Tm", "Tm", "Y", "Tm", "Y", "Y", "Y", "Y"], "fractional_positions": [[0.7409, 0.2688, 0.1468], [0.8462, 0.6033, 0.9294], [0.5031, 0.3828, 0.8646], [0.3828, 0.8646, 0.5031], [0.0706, 0.1538, 0.3967], [0.4969, 0.6172, 0.1354], [0.8532, 0.2591, 0.7312], [0.2591, 0.7312, 0.8532], [0.6172, 0.1354, 0.4969], [0.8646, 0.5031, 0.3828], [0.2688, 0.1468, 0.7409], [0.0000, 0.0000, 0.0000], [0.1468, 0.7409, 0.2688], [0.1354, 0.4969, 0.6172], [0.3967, 0.0706, 0.1538], [0.7312, 0.8532, 0.2591], [0.1538, 0.3967, 0.0706], [0.6033, 0.9294, 0.8462], [0.9294, 0.8462, 0.6033], [0.5000, 0.5000, 0.5000]], "de_polymorph_ev_per_fu": 0.000, "space_group": "R-3"}


{"formula": "YEr6Tm5", "functional": "PBE-GGA", "state": "relaxed", "lattice_angstrom": [[5.9787, 0.0000, 1.0624], [2.9894, 5.2510, 0.5312], [-0.0129, 0.0000, 11.6157]], "species": ["Er", "Tm", "Y", "Tm", "Er", "Er", "Er", "Tm", "Er", "Tm", "Er", "Tm"], "fractional_positions": [[0.5826, 0.3342, 0.2509], [0.8333, 0.3334, 0.5000], [0.0000, 0.0000, 0.0000], [0.6667, 0.6667, 0.0000], [0.4174, 0.6658, 0.7491], [0.9168, 0.6658, 0.2509], [0.2511, 0.0000, 0.2509], [0.5000, 0.0000, 0.5000], [0.0832, 0.3342, 0.7491], [0.1667, 0.6666, 0.5000], [0.7489, 0.0000, 0.7491], [0.3333, 0.3333, 0.0000]], "space_group": "C2/m"}


{"formula": "Y4Er6Tm", "functional": "PBE-GGA", "state": "relaxed", "lattice_angstrom": [[-6.2807, -1.6257, 0.5602], [0.5879, -4.0237, -5.0861], [4.9624, -3.5326, 7.5369]], "species": ["Er", "Er", "Y", "Er", "Er", "Y", "Y", "Tm", "Y", "Er", "Er"], "fractional_positions": [[0.8539, 0.4850, 0.3389], [0.4850, 0.8539, 0.3389], [0.0450, 0.6855, 0.7305], [0.5000, 0.0000, 0.0000], [0.5150, 0.5150, 0.6611], [0.3145, 0.3145, 0.2695], [0.6855, 0.0450, 0.7305], [0.5000, 0.5000, 0.0000], [0.9550, 0.9550, 0.2695], [0.0000, 0.5000, 0.0000], [0.1461, 0.1461, 0.6611]], "de_polymorph_ev_per_fu": 0.147, "space_group": "I-42m"}


{"formula": "Y6Er2Tm3", "functional": "PBE-GGA", "state": "relaxed", "lattice_angstrom": [[-1.1475, -1.3494, -3.0654], [-2.1034, -2.8478, -0.0035], [-26.5681, 17.4225, 0.2313]], "species": ["Tm", "Y", "Er", "Y", "Y", "Er", "Tm", "Y", "Tm", "Y", "Y"], "fractional_positions": [[0.2729, 0.2729, 0.1813], [0.1821, 0.1821, 0.4538], [0.4543, 0.4543, 0.6371], [0.6364, 0.6364, 0.0907], [0.9093, 0.9093, 0.2720], [0.5457, 0.5457, 0.3629], [0.7271, 0.7271, 0.8187], [0.0907, 0.0907, 0.7280], [0.0000, 0.0000, 0.0000], [0.3636, 0.3636, 0.9093], [0.8179, 0.8179, 0.5462]], "space_group": "R-3m"}


{"formula": "Y2Er5Tm3", "functional": "PBE-GGA", "state": "relaxed", "lattice_angstrom": [[6.1763, 0.0000, 0.0000], [3.0881, 10.1654, -2.9256], [3.0881, -0.1231, 10.5773]], "species": ["Y", "Tm", "Er", "Y", "Er", "Er", "Er", "Er", "Er", "Tm", "Tm", "Tm", "Y", "Y", "Er", "Tm", "Tm", "Er", "Er", "Er"], "fractional_positions": [[0.4014, 0.9416, 0.2556], [0.6598, 0.5883, 0.0920], [0.7500, 0.5000, 0.5000], [0.0986, 0.7444, 0.0584], [0.4001, 0.7559, 0.4439], [0.5002, 0.7498, 0.7498], [0.9001, 0.4439, 0.7559], [0.0002, 0.7498, 0.7498], [0.5999, 0.2441, 0.5561], [0.3402, 0.4117, 0.9080], [0.7500, 0.0000, 0.0000], [0.1598, 0.0920, 0.5883], [0.9014, 0.2556, 0.9416], [0.5986, 0.0584, 0.7444], [0.0999, 0.5561, 0.2441], [0.2500, 0.0000, 0.0000], [0.8402, 0.9080, 0.4117], [0.2500, 0.5000, 0.5000], [0.4998, 0.2502, 0.2502], [0.9998, 0.2502, 0.2502]], "de_polymorph_ev_per_fu": 1.446, "space_group": "Ibam"}


{"formula": "Y2Er7Tm3", "functional": "PBE-GGA", "state": "relaxed", "lattice_angstrom": [[3.4792, 0.0000, 0.0000], [0.0000, 6.2091, 0.7411], [0.0000, 2.3108, 17.5071]], "species": ["Er", "Er", "Er", "Tm", "Y", "Er", "Tm", "Er", "Tm", "Y", "Er", "Er"], "fractional_positions": [[0.5000, 0.0578, 0.1677], [0.5000, 0.7572, 0.4987], [0.5000, 0.9422, 0.8323], [0.0000, 0.1049, 0.3432], [0.5000, 0.6114, 0.3264], [0.0000, 0.5602, 0.1642], [0.5000, 0.5000, 0.0000], [0.0000, 0.4398, 0.8358], [0.0000, 0.8951, 0.6568], [0.5000, 0.3886, 0.6736], [0.0000, 0.0000, 0.0000], [0.5000, 0.2428, 0.5013]], "de_polymorph_ev_per_fu": 0.000, "space_group": "P2/m"}


{"formula": "YEr4Tm6", "functional": "PBE-GGA", "state": "relaxed", "lattice_angstrom": [[-5.2127, -1.1334, 5.3493], [5.4564, -0.5963, 5.1907], [-0.4263, 7.2228, -4.2196]], "species": ["Er", "Y", "Tm", "Er", "Tm", "Er", "Tm", "Tm", "Tm", "Er", "Tm"], "fractional_positions": [[0.7572, 0.0890, 0.8462], [0.5000, 0.5000, 0.0000], [0.0702, 0.0702, 0.6322], [0.9110, 0.9110, 0.1538], [0.0000, 0.5000, 0.0000], [0.0890, 0.7572, 0.8462], [0.5000, 0.0000, 0.0000], [0.5620, 0.5620, 0.6322], [0.4380, 0.9298, 0.3678], [0.2428, 0.2428, 0.1538], [0.9298, 0.4380, 0.3678]], "de_polymorph_ev_per_fu": 3.712, "space_group": "I-42m"}


{"formula": "YEr4Tm", "functional": "PBE-GGA", "state": "relaxed", "lattice_angstrom": [[6.3513, -0.6245, 0.0000], [-2.5152, 8.4277, 0.0000], [-1.9181, -3.9016, 7.2872]], "species": ["Er", "Er", "Er", "Er", "Y", "Er", "Tm", "Er", "Tm", "Y", "Er", "Er"], "fractional_positions": [[0.8044, 0.4251, 0.2593], [0.0451, 0.1658, 0.7407], [0.7462, 0.7104, 0.6083], [0.3621, 0.8979, 0.6083], [0.6648, 0.4148, 0.8297], [0.9549, 0.8342, 0.2593], [0.2505, 0.0005, 0.0010], [0.1956, 0.5749, 0.7407], [0.7495, 0.9995, 0.9990], [0.3352, 0.5852, 0.1703], [0.6379, 0.1021, 0.3917], [0.2538, 0.2896, 0.3917]], "de_polymorph_ev_per_fu": 0.711, "space_group": "C2/c"}


{"formula": "Y6Er4Tm19", "functional": "PBE-GGA", "state": "relaxed", "lattice_angstrom": [[-5.5080, 8.3243, 3.7741], [0.3046, -7.7036, 7.3782], [9.9456, 3.0810, -2.3383]], "species": ["Tm", "Y", "Er", "Tm", "Y", "Tm", "Er", "Tm", "Tm", "Tm", "Tm", "Tm", "Tm", "Tm", "Tm", "Tm", "Tm", "Er", "Er", "Y", "Tm", "Y", "Tm", "Y", "Y", "Tm", "Tm", "Tm", "Tm"], "fractional_positions": [[0.2608, 0.0000, 0.2608], [0.3678, 0.5000, 0.8678], [0.0000, 0.6427, 0.0000], [0.7392, 0.7392, 0.0000], [0.5000, 0.1322, 0.6322], [0.3397, 0.0173, 0.8074], [0.3573, 0.3573, 0.3573], [0.0000, 0.7392, 0.7392], [0.4677, 0.6776, 0.6603], [0.6603, 0.4677, 0.6776], [0.9827, 0.3224, 0.7901], [0.1926, 0.2099, 0.5323], [0.0173, 0.8074, 0.3397], [0.7392, 0.0000, 0.7392], [0.8074, 0.3397, 0.0173], [0.0000, 0.2608, 0.2608], [0.5323, 0.1926, 0.2099], [0.0000, 0.0000, 0.6427], [0.6427, 0.0000, 0.0000], [0.1322, 0.6322, 0.5000], [0.2099, 0.5323, 0.1926], [0.8678, 0.3678, 0.5000], [0.3224, 0.7901, 0.9827], [0.6322, 0.5000, 0.1322], [0.5000, 0.8678, 0.3678], [0.6776, 0.6603, 0.4677], [0.7901, 0.9827, 0.3224], [0.0000, 0.0000, 0.0000], [0.2608, 0.2608, 0.0000]], "space_group": "I23"}


Quick rundown of formation enthalpy at 0 K, same order as above: 9, 125, 4, 233, 26, 309, 30, 364, 82, 466, 144, 391 meV per atom
Quick rundown of theoretical density, same order as above: 8.1, 7.2, 7.0, 7.3, 8.8, 7.0, 6.6, 7.6, 8.3, 8.0, 8.1, 7.8 g cm⁻³